RbCd2Hg: optimized geometry, GGA-PBE.

## Properties
Space group = No. 123
Energy of formation from the pure elements = -0.03 eV/atom
Total magnetization = 0.00 μB/atom
Energy = -0.8026 eV per atom

Lattice parameters (Å, degrees): 4.0644 4.0644 8.0956 90.00 90.00 90.00
Sites, in units of the cell vectors:
Rb 0.0000 0.0000 0.0000
Cd 0.5000 0.5000 0.3122
Cd 0.5000 0.5000 0.6878
Hg 0.0000 0.0000 0.5000